(1)
Below is a relaxed structure of Dy5HgPb6, with properties calculated at the PBE level.

Output
**Electronic total energy**: -4.1984 eV per atom
**Energy of formation from the pure elements**: -401.6 meV per atom
**M_tot**: 0.0 μB/f.u.

The structure in POSCAR format:
```
Dy5HgPb6
1.0
4.696 0.004 -1.445
-0.998 8.454 -3.222
0.207 -1.437 9.022
Pb Hg Dy
6 1 5
direct
0.171 0.427 0.342
0.171 0.915 0.342
0.500 0.269 0.000
0.500 0.731 0.000
0.829 0.085 0.658
0.829 0.573 0.658
0.000 0.000 0.000
0.360 0.860 0.720
0.673 0.673 0.346
0.000 0.500 0.000
0.327 0.327 0.654
0.640 0.140 0.280
```

---

(2)
Below is a relaxed structure of MnBeRh, with properties calculated at the PBE level.

Output
**Electronic total energy**: -7.0016 eV per atom
**Energy of formation from the pure elements**: -252.5 meV per atom
**M_tot**: 4.0 μB/f.u.

The structure in POSCAR format:
```
MnBeRh
1.0
4.727 0.322 -0.241
2.704 3.893 0.239
-3.597 -2.317 2.053
Be Mn Rh
1 1 1
direct
0.988 0.988 0.000
0.659 0.659 0.000
0.353 0.353 0.000
```

---

(3)
Below is a relaxed structure of Pr4I3N2, with properties calculated at the PBE level.

Output
**Electronic total energy**: -5.7003 eV per atom
**ΔE_f (raw)**: -1.209 eV per atom
**M_tot**: 0.0 μB/f.u.

The structure in POSCAR format:
```
Pr4I3N2
1.0
-1.641 5.420 4.035
-4.974 -5.736 5.143
4.940 -3.879 6.682
Pr I N
8 6 4
direct
0.443 0.940 0.351
0.057 0.649 0.060
0.557 0.060 0.649
0.943 0.351 0.940
0.070 0.232 0.390
0.430 0.610 0.768
0.930 0.768 0.610
0.570 0.390 0.232
0.968 0.967 0.222
0.532 0.778 0.033
0.032 0.033 0.778
0.468 0.222 0.967
0.250 0.566 0.434
0.750 0.434 0.566
0.399 0.160 0.404
0.101 0.596 0.840
0.601 0.840 0.596
0.899 0.404 0.160
```

---

(4)
Below is a relaxed structure of KOsO3, with properties calculated at the PBE level.

Output
**Electronic total energy**: -6.4739 eV per atom
**ΔE_f (raw)**: -1.034 eV per atom
**M_tot**: 0.0 μB/f.u.

The structure in POSCAR format:
```
KOsO3
1.0
-2.432 -4.060 4.241
5.834 -1.155 2.240
-0.660 4.751 4.169
K Os O
4 4 12
direct
0.919 0.919 0.919
0.581 0.081 0.419
0.419 0.581 0.081
0.081 0.419 0.581
0.118 0.882 0.382
0.382 0.118 0.882
0.618 0.618 0.618
0.882 0.382 0.118
0.959 0.139 0.303
0.197 0.041 0.639
0.139 0.303 0.959
0.361 0.697 0.459
0.303 0.959 0.139
0.541 0.861 0.803
0.459 0.361 0.697
0.697 0.459 0.361
0.639 0.197 0.041
0.861 0.803 0.541
0.803 0.541 0.861
0.041 0.639 0.197
```

---

(5)
Below is a relaxed structure of CaZn, with properties calculated at the PBE level.

Output
**Electronic total energy**: -1.2426 eV per atom
**Energy of formation from the pure elements**: 395.2 meV per atom
**M_tot**: 0.0 μB/f.u.

The structure in POSCAR format:
```
CaZn
1.0
4.791 0.000 0.000
2.395 4.149 0.000
2.395 1.383 3.911
Zn Ca
1 1
direct
0.750 0.750 0.750
0.000 0.000 0.000
```

---

(6)
Below is a relaxed structure of TlVNiTe3, with properties calculated at the PBE level.

Output
**Electronic total energy**: -4.7373 eV per atom
**ΔE_f (raw)**: -0.289 eV per atom
**M_tot**: 0.6 μB/f.u.

The structure in POSCAR format:
```
TlVNiTe3
1.0
-2.987 0.732 2.171
1.737 -7.194 4.816
4.498 9.182 3.091
Tl V Ni Te
2 2 2 6
direct
0.250 0.303 0.289
0.750 0.697 0.711
0.250 0.717 0.185
0.750 0.283 0.815
0.250 0.083 0.603
0.750 0.917 0.397
0.750 0.921 0.164
0.250 0.079 0.836
0.250 0.758 0.445
0.750 0.242 0.555
0.750 0.454 0.111
0.250 0.546 0.889
```

---

(7)
Below is a relaxed structure of MnAlCrPd, with properties calculated at the PBE level.

Output
**Electronic total energy**: -7.1930 eV per atom
**Energy of formation from the pure elements**: -260.9 meV per atom
**M_tot**: 1.7 μB/f.u.

The structure in POSCAR format:
```
MnAlCrPd
1.0
-2.935 1.612 2.666
-1.793 -2.501 2.975
0.949 0.575 4.134
Cr Mn Al Pd
1 1 1 1
direct
0.250 0.250 0.250
0.500 0.500 0.500
0.000 0.000 0.000
0.750 0.750 0.750
```

---

(8)
Below is a relaxed structure of CsNaMg, with properties calculated at the PBE level.

Output
**Electronic total energy**: -1.1430 eV per atom
**Energy of formation from the pure elements**: 112.7 meV per atom
**M_tot**: 0.0 μB/f.u.

The structure in POSCAR format:
```
CsNaMg
1.0
5.393 0.003 0.000
2.695 4.671 0.000
0.072 0.027 13.409
Cs Na Mg
2 2 2
direct
0.829 0.832 0.829
0.171 0.168 0.171
0.499 0.499 0.618
0.501 0.501 0.382
0.167 0.167 0.509
0.833 0.833 0.491
```

---

(9)
Below is a relaxed structure of Pm2MnGe4Rh3, with properties calculated at the PBE level.

Output
**Electronic total energy**: -6.6601 eV per atom
**Energy of formation from the pure elements**: -740.6 meV per atom
**M_tot**: 2.9 μB/f.u.

The structure in POSCAR format:
```
Pm2MnGe4Rh3
1.0
4.214 0.000 0.000
0.000 4.214 0.000
0.000 0.000 10.353
Pm Mn Ge Rh
2 1 4 3
direct
0.500 0.000 0.245
0.000 0.500 0.755
0.500 0.500 0.500
0.500 0.500 0.000
0.000 0.000 0.000
0.500 0.000 0.635
0.000 0.500 0.365
0.000 0.000 0.500
0.500 0.000 0.874
0.000 0.500 0.126
```

---

(10)
Below is a relaxed structure of Li3PmS3, with properties calculated at the PBE level.

Output
**Electronic total energy**: -4.8603 eV per atom
**ΔE_f (raw)**: -1.593 eV per atom
**M_tot**: 0.0 μB/f.u.

The structure in POSCAR format:
```
Li3PmS3
1.0
-5.615 -2.277 3.680
0.239 -6.260 3.318
0.548 0.104 7.728
Li Pm S
6 2 6
direct
0.420 0.815 0.633
0.815 0.132 0.633
0.132 0.420 0.633
0.868 0.580 0.367
0.185 0.868 0.367
0.580 0.185 0.367
0.333 0.333 0.000
0.667 0.667 0.000
0.274 0.552 0.256
0.918 0.274 0.256
0.552 0.918 0.256
0.448 0.082 0.744
0.082 0.726 0.744
0.726 0.448 0.744
```

---

(11)
Below is a relaxed structure of Ce2AgHg8, with properties calculated at the PBE level.

Output
**Electronic total energy**: -1.7304 eV per atom
**Energy of formation from the pure elements**: -172.8 meV per atom
**M_tot**: 2.2 μB/f.u.

The structure in POSCAR format:
```
Ce2AgHg8
1.0
-4.469 -0.492 2.261
1.625 -6.754 1.740
4.534 6.065 4.681
Ce Ag Hg
2 1 8
direct
0.794 0.295 0.589
0.206 0.705 0.411
0.500 0.000 0.000
0.372 0.589 0.743
0.630 0.848 0.260
0.841 0.840 0.681
0.999 0.283 0.999
0.159 0.160 0.319
0.370 0.152 0.740
0.628 0.411 0.257
0.001 0.717 0.001
```

---

(12)
Below is a relaxed structure of LaHfV2, with properties calculated at the PBE level.

Output
**Electronic total energy**: -7.8151 eV per atom
**Energy of formation from the pure elements**: 464.4 meV per atom
**M_tot**: 4.2 μB/f.u.

The structure in POSCAR format:
```
LaHfV2
1.0
0.000 3.473 3.473
3.473 0.000 3.473
3.473 3.473 0.000
La Hf V
1 1 2
direct
0.000 0.000 0.000
0.500 0.500 0.500
0.250 0.250 0.250
0.750 0.750 0.750
```

---

(13)
Below is a relaxed structure of Mn2NiAs8, with properties calculated at the PBE level.

Output
**Electronic total energy**: -5.4871 eV per atom
**Energy of formation from the pure elements**: 87.1 meV per atom
**M_tot**: 0.0 μB/f.u.

The structure in POSCAR format:
```
Mn2NiAs8
1.0
-2.849 3.192 -1.392
-1.551 0.229 7.334
4.254 4.191 4.537
Mn Ni As
2 1 8
direct
0.209 0.822 0.822
0.791 0.178 0.178
0.000 0.000 0.000
0.756 0.823 0.316
0.244 0.684 0.177
0.703 0.822 0.822
0.297 0.178 0.178
0.756 0.316 0.823
0.244 0.177 0.684
0.124 0.640 0.640
0.876 0.360 0.360
```

---

(14)
Below is a relaxed structure of Sr2Cd15In2, with properties calculated at the PBE level.

Output
**Electronic total energy**: -1.3513 eV per atom
**Energy of formation from the pure elements**: -163.6 meV per atom
**M_tot**: 0.0 μB/f.u.

The structure in POSCAR format:
```
Sr2Cd15In2
1.0
-4.824 5.184 3.295
-2.847 -4.782 5.480
4.835 2.214 5.721
Sr Cd In
2 15 2
direct
0.336 0.336 0.336
0.664 0.664 0.664
0.500 0.000 0.000
0.000 0.000 0.500
0.000 0.500 0.000
0.000 0.693 0.307
0.693 0.307 0.000
0.307 0.000 0.693
0.307 0.693 0.000
0.693 0.000 0.307
0.000 0.307 0.693
0.169 0.645 0.645
0.645 0.645 0.169
0.645 0.169 0.645
0.831 0.355 0.355
0.355 0.355 0.831
0.355 0.831 0.355
0.099 0.099 0.099
0.901 0.901 0.901
```

---

(15)
Below is a relaxed structure of Ca5Mg2Zn2Ga, with properties calculated at the PBE level.

Output
**Electronic total energy**: -2.0269 eV per atom
**Energy of formation from the pure elements**: -149.7 meV per atom
**M_tot**: 0.0 μB/f.u.

The structure in POSCAR format:
```
Ca5Mg2Zn2Ga
1.0
-2.085 3.018 0.245
-5.605 -4.696 10.144
8.641 5.379 7.264
Ca Mg Zn Ga
10 4 4 2
direct
0.500 0.198 0.035
0.500 0.802 0.965
0.500 0.035 0.802
0.500 0.698 0.465
0.500 0.965 0.198
0.500 0.302 0.535
0.500 0.535 0.698
0.500 0.465 0.302
0.500 0.500 0.000
0.500 0.000 0.500
0.000 0.693 0.193
0.000 0.307 0.807
0.000 0.193 0.307
0.000 0.807 0.693
0.000 0.143 0.643
0.000 0.857 0.357
0.000 0.643 0.857
0.000 0.357 0.143
0.000 0.000 0.000
0.000 0.500 0.500
```

---

(16)
Below is a relaxed structure of InTeOs2, with properties calculated at the PBE level.

Output
**Electronic total energy**: -6.3360 eV per atom
**ΔE_f (raw)**: 0.749 eV per atom
**M_tot**: 0.0 μB/f.u.

The structure in POSCAR format:
```
InTeOs2
1.0
-2.287 -2.946 -1.894
1.646 -2.166 1.382
-3.903 0.020 4.680
In Os Te
1 2 1
direct
0.500 0.750 0.750
0.000 0.250 0.949
0.000 0.250 0.551
0.500 0.250 0.250
```

---

(17)
Below is a relaxed structure of Co2OsRh, with properties calculated at the PBE level.

Output
**Electronic total energy**: -7.9072 eV per atom
**Energy of formation from the pure elements**: 291.0 meV per atom
**M_tot**: 3.3 μB/f.u.

The structure in POSCAR format:
```
Co2OsRh
1.0
-0.132 -2.693 1.388
2.885 0.312 0.880
-1.685 2.477 4.647
Co Os Rh
2 1 1
direct
0.000 0.000 0.010
0.000 0.000 0.490
0.500 0.500 0.250
0.500 0.500 0.750
```

---

(18)
Below is a relaxed structure of PaAlAu2, with properties calculated at the PBE level.

Output
**Electronic total energy**: -5.3749 eV per atom
**Energy of formation from the pure elements**: -426.6 meV per atom
**M_tot**: 0.0 μB/f.u.

The structure in POSCAR format:
```
PaAlAu2
1.0
4.886 0.000 0.000
2.443 4.231 0.000
2.443 1.410 3.989
Pa Au Al
1 2 1
direct
0.000 0.000 0.000
0.250 0.250 0.250
0.750 0.750 0.750
0.500 0.500 0.500
```

---

(19)
Below is a relaxed structure of LiLaTeO, with properties calculated at the PBE level.

Output
**Electronic total energy**: -6.0143 eV per atom
**ΔE_f (raw)**: -2.279 eV per atom
**M_tot**: 0.0 μB/f.u.

The structure in POSCAR format:
```
LiLaTeO
1.0
-3.381 2.411 0.823
-2.329 -3.480 0.628
2.375 0.113 9.426
Li La Te O
2 2 2 2
direct
0.500 0.500 0.000
0.000 0.000 0.000
0.500 0.000 0.619
0.000 0.500 0.381
0.000 0.500 0.818
0.500 0.000 0.182
0.000 0.000 0.500
0.500 0.500 0.500
```

---

(20)
Below is a relaxed structure of BeCoTe2, with properties calculated at the PBE level.

Output
**Electronic total energy**: -4.1042 eV per atom
**ΔE_f (raw)**: 0.175 eV per atom
**M_tot**: 0.0 μB/f.u.

The structure in POSCAR format:
```
BeCoTe2
1.0
-3.143 0.571 -1.985
0.017 -0.454 -3.733
-2.533 -5.791 -1.185
Be Te Co
1 2 1
direct
0.750 0.750 0.750
0.996 0.996 0.009
0.504 0.504 0.491
0.250 0.250 0.250
```

---

(21)
Below is a relaxed structure of AlFe2H, with properties calculated at the PBE level.

Output
**Electronic total energy**: -6.0931 eV per atom
**M_tot**: 3.2 μB/f.u.

The structure in POSCAR format:
```
AlFe2H
1.0
2.688 0.000 0.000
1.344 2.328 0.000
1.344 0.776 6.084
H Fe Al
1 2 1
direct
0.000 0.000 0.000
0.278 0.278 0.166
0.722 0.722 0.834
0.500 0.500 0.500
```

---

(22)
Below is a relaxed structure of Pr2Dy3Ag2, with properties calculated at the PBE level.

Output
**Electronic total energy**: -4.2474 eV per atom
**Energy of formation from the pure elements**: -94.9 meV per atom
**M_tot**: 0.0 μB/f.u.

The structure in POSCAR format:
```
Pr2Dy3Ag2
1.0
5.448 0.000 0.000
-2.724 4.700 -0.378
0.000 -2.511 8.086
Pr Dy Ag
2 3 2
direct
0.924 0.848 0.273
0.076 0.152 0.727
0.500 0.000 0.000
0.662 0.323 0.485
0.338 0.677 0.515
0.788 0.576 0.862
0.212 0.424 0.138
```

---

(23)
Below is a relaxed structure of Sm4IrAu2, with properties calculated at the PBE level.

Output
**Electronic total energy**: -5.5240 eV per atom
**Energy of formation from the pure elements**: -625.1 meV per atom
**M_tot**: 0.0 μB/f.u.

The structure in POSCAR format:
```
Sm4IrAu2
1.0
-4.573 2.048 0.831
-2.208 -0.479 4.549
1.384 7.639 4.311
Sm Ir Au
4 1 2
direct
0.880 0.880 0.361
0.120 0.120 0.639
0.629 0.629 0.112
0.371 0.371 0.888
0.000 0.000 0.000
0.758 0.758 0.725
0.242 0.242 0.275
```

---

(24)
Below is a relaxed structure of CdSN2, with properties calculated at the PBE level.

Output
**Electronic total energy**: -3.4209 eV per atom
**ΔE_f (raw)**: 2.002 eV per atom
**M_tot**: 0.0 μB/f.u.

The structure in POSCAR format:
```
CdSN2
1.0
0.000 2.880 2.880
2.880 0.000 2.880
2.880 2.880 0.000
S N Cd
1 2 1
direct
0.000 0.000 0.000
0.250 0.250 0.250
0.750 0.750 0.750
0.500 0.500 0.500
```